Record 1
The following is a DFT calculation (GGA-PBE) of crystalline PtRh2Br at its relaxed geometry.

Values from the calculation:
polymorph energy (0 for the lowest one) = 152 meV per atom
density = 11.83 g/cm³
total moment = 0.0 μB/cell

The structure in CIF format:
```
data_PtRh2Br
_cell_length_a 2.913
_cell_length_b 2.913
_cell_length_c 7.954
_cell_angle_alpha 90.00
_cell_angle_beta 90.00
_cell_angle_gamma 90.00
_space_group_name_H-M_alt 'P 4 m m'
_space_group_IT_number 99
_space_group_name_Hall 'P 4 -2'
loop_
_atom_site_label
_atom_site_fract_x
_atom_site_fract_y
_atom_site_fract_z
Pt1 0.000 0.000 0.000
Rh1 0.000 0.000 0.440
Rh2 0.500 0.500 0.228
Br1 0.500 0.500 0.678
```

***

Record 2
The following is a DFT calculation (GGA-PBE) of crystalline Sc6Ni2Os at its relaxed geometry.

Values from the calculation:
density = 5.60 g/cm³
formation energy from the elements = -371 meV per atom
total moment = 0.0 μB/cell

The structure in CIF format:
```
data_Sc6Ni2Os
_cell_length_a 8.626
_cell_length_b 8.891
_cell_length_c 8.924
_cell_angle_alpha 90.00
_cell_angle_beta 90.00
_cell_angle_gamma 90.00
_space_group_name_H-M_alt 'I m m m'
_space_group_IT_number 71
_space_group_name_Hall '-I 2 2'
loop_
_atom_site_label
_atom_site_fract_x
_atom_site_fract_y
_atom_site_fract_z
Sc1 0.000 0.171 0.207
Sc2 0.177 0.500 0.238
Sc3 0.190 0.243 0.500
Ni1 0.000 0.372 0.000
Ni2 0.150 0.000 0.000
Os1 0.000 0.000 0.500
Os2 0.000 0.500 0.500
```

***

Record 3
The following is a DFT calculation (GGA-PBE) of crystalline La2TbDy5 at its relaxed geometry.

Values from the calculation:
density = 7.87 g/cm³
formation energy from the elements = 30 meV per atom
total moment = 0.0 μB/cell

The structure in CIF format:
```
data_La2TbDy5
_cell_length_a 7.186
_cell_length_b 14.371
_cell_length_c 5.104
_cell_angle_alpha 90.00
_cell_angle_beta 90.00
_cell_angle_gamma 90.00
_space_group_name_H-M_alt 'P b a m'
_space_group_IT_number 55
_space_group_name_Hall '-P 2 2ab'
loop_
_atom_site_label
_atom_site_fract_x
_atom_site_fract_y
_atom_site_fract_z
La1 0.250 0.125 0.000
Tb1 0.000 0.000 0.500
Dy1 0.000 0.250 0.500
Dy2 0.000 0.500 0.500
Dy3 0.250 0.375 0.000
```

***

Record 4
The following is a DFT calculation (GGA-PBE) of crystalline Nd4BiRh at its relaxed geometry.

Values from the calculation:
density = 8.05 g/cm³
formation energy from the elements = -524 meV per atom
total moment = 0.0 μB/cell

The structure in CIF format:
```
data_Nd4BiRh
_cell_length_a 9.066
_cell_length_b 14.365
_cell_length_c 6.185
_cell_angle_alpha 90.00
_cell_angle_beta 114.45
_cell_angle_gamma 90.00
_space_group_name_H-M_alt 'C 1 2/c 1'
_space_group_IT_number 15
_space_group_name_Hall '-C 2yc'
loop_
_atom_site_label
_atom_site_fract_x
_atom_site_fract_y
_atom_site_fract_z
Nd1 0.112 0.185 0.073
Nd2 0.228 0.429 0.342
Bi1 0.000 0.379 0.750
Rh1 0.000 0.002 0.250
```

***

Record 5
The following is a DFT calculation (GGA-PBE) of crystalline RbTaAlIr2 at its relaxed geometry.

Values from the calculation:
density = 8.12 g/cm³
formation energy from the elements = 1479 meV per atom
total moment = 0.0 μB/cell

The structure in CIF format:
```
data_RbTaAlIr2
_cell_length_a 4.834
_cell_length_b 4.834
_cell_length_c 5.928
_cell_angle_alpha 90.00
_cell_angle_beta 90.00
_cell_angle_gamma 90.00
_space_group_name_H-M_alt 'P 4/m m m'
_space_group_IT_number 123
_space_group_name_Hall '-P 4 2'
loop_
_atom_site_label
_atom_site_fract_x
_atom_site_fract_y
_atom_site_fract_z
Rb1 0.000 0.000 0.000
Ta1 0.000 0.000 0.500
Al1 0.500 0.500 0.000
Ir1 0.000 0.500 0.500
```

***

Record 6
The following is a DFT calculation (GGA-PBE) of crystalline Na2AgP2Pd5 at its relaxed geometry.

Values from the calculation:
density = 7.32 g/cm³
formation energy from the elements = -386 meV per atom
total moment = 0.0 μB/cell

The structure in CIF format:
```
data_Na2AgP2Pd5
_cell_length_a 10.402
_cell_length_b 10.402
_cell_length_c 3.135
_cell_angle_alpha 90.00
_cell_angle_beta 90.00
_cell_angle_gamma 90.00
_space_group_name_H-M_alt 'P 4/m b m'
_space_group_IT_number 127
_space_group_name_Hall '-P 4 2ab'
loop_
_atom_site_label
_atom_site_fract_x
_atom_site_fract_y
_atom_site_fract_z
Na1 0.175 0.325 0.000
Ag1 0.000 0.000 0.000
P1 0.128 0.628 0.000
Pd1 0.000 0.500 0.500
Pd2 0.068 0.787 0.500
```

***

Record 7
The following is a DFT calculation (GGA-PBE) of crystalline AcPuZn at its relaxed geometry.

Values from the calculation:
polymorph energy (0 for the lowest one) = 0 meV per atom
density = 10.03 g/cm³
formation energy from the elements = 26 meV per atom
total moment = 12.5 μB/cell

The structure in CIF format:
```
data_AcPuZn
_cell_length_a 3.774
_cell_length_b 3.774
_cell_length_c 12.479
_cell_angle_alpha 90.00
_cell_angle_beta 90.00
_cell_angle_gamma 90.00
_space_group_name_H-M_alt 'I 4 m m'
_space_group_IT_number 107
_space_group_name_Hall 'I 4 -2'
loop_
_atom_site_label
_atom_site_fract_x
_atom_site_fract_y
_atom_site_fract_z
Ac1 0.000 0.000 0.000
Pu1 0.000 0.000 0.288
Zn1 0.000 0.000 0.663
```

***

Record 8
The following is a DFT calculation (GGA-PBE) of crystalline Ac3Ga2Ge3 at its relaxed geometry.

Values from the calculation:
polymorph energy (0 for the lowest one) = 0 meV per atom
density = 7.90 g/cm³
formation energy from the elements = -619 meV per atom
total moment = 0.0 μB/cell

The structure in CIF format:
```
data_Ac3Ga2Ge3
_cell_length_a 4.432
_cell_length_b 11.895
_cell_length_c 16.550
_cell_angle_alpha 90.00
_cell_angle_beta 90.00
_cell_angle_gamma 90.00
_space_group_name_H-M_alt 'C m c m'
_space_group_IT_number 63
_space_group_name_Hall '-C 2c 2'
loop_
_atom_site_label
_atom_site_fract_x
_atom_site_fract_y
_atom_site_fract_z
Ac1 0.000 0.049 0.250
Ac2 0.000 0.351 0.090
Ga1 0.000 0.356 0.620
Ge1 0.000 0.071 0.057
Ge2 0.000 0.225 0.750
```